Record 1
Density functional theory data (PBE-GGA) for a relaxed structure of NaLa2RhPb.

calculated volume = 158 Å³/f.u.
symmetry = No. 123
calculated formation energy = -0.329 eV per atom
raw total energy = -4.78 eV per atom
spin magnetization = 0.0000 μB per atom

Lattice parameters (Å, degrees): 5.4661 5.4661 5.2815 90.00 90.00 90.00
Closest atoms and distances in Å follow each position.
Sites, in units of the cell vectors:
La 0.0000 0.5000 0.0000  2 Rh 2.73
La 0.5000 0.0000 0.0000  2 Rh 2.73
Rh 0.0000 0.0000 0.0000  2 Na 2.64, 4 La 2.73
Na 0.0000 0.0000 0.5000  2 Rh 2.64
Pb 0.5000 0.5000 0.5000  8 La 3.80, 4 Na 3.87

---

Record 2
Density functional theory data (PBE-GGA) for a relaxed structure of Li4TlSb.

calculated volume = 121 Å³/f.u.
symmetry = No. 216
energy relative to the elements, uncorrected = -0.17 eV/atom
raw total energy = -2.53 eV per atom
spin magnetization = 0.0361 μB per atom

Lattice parameters (Å, degrees): 5.5558 5.5558 5.5558 60.00 60.00 60.00
Closest atoms and distances in Å follow each position.
Sites, in units of the cell vectors:
Li 0.3754 0.3754 0.8738  6 Li 2.77-2.79
Li 0.3754 0.3754 0.3754  6 Li 2.77-2.79
Li 0.8738 0.3754 0.3754  6 Li 2.77-2.79
Li 0.3754 0.8738 0.3754  6 Li 2.77-2.79
Tl 0.0000 0.0000 0.0000  12 Li 3.26, 4 Sb 3.40
Sb 0.7500 0.7500 0.7500  12 Li 3.26, 4 Tl 3.40

---

Record 3
Density functional theory data (PBE-GGA) for a relaxed structure of Ti6In2Ga.

calculated volume = 191 Å³/f.u.
symmetry = No. 71
calculated formation energy = 0.317 eV per atom
raw total energy = -5.89 eV per atom
spin magnetization = 0.1317 μB per atom

Lattice parameters (Å, degrees): 4.4072 6.3958 7.7968 114.21 106.42 90.00
Closest atoms and distances in Å follow each position.
Sites, in units of the cell vectors:
Ti 0.1617 0.9297 0.3235  1 Ga 2.64, 3 In 2.79-2.80
Ti 0.5000 0.2292 0.0000  2 Ga 2.65, 2 In 2.80, 1 Ti 2.93
Ti 0.5000 0.7708 0.0000  2 Ga 2.65, 2 In 2.80, 1 Ti 2.93
Ti 0.1617 0.3937 0.3235  1 Ga 2.64, 3 In 2.79-2.80
Ti 0.8383 0.0703 0.6765  1 Ga 2.64, 3 In 2.79-2.80
Ti 0.8383 0.6063 0.6765  1 Ga 2.64, 3 In 2.79-2.80
Ga 0.0000 0.0000 0.0000  8 Ti 2.64-2.65
In 0.6624 0.6625 0.3249  8 Ti 2.79-2.80
In 0.3376 0.3375 0.6751  8 Ti 2.79-2.80

---

Record 4
Density functional theory data (PBE-GGA) for a relaxed structure of KSrTl2.

calculated volume = 163 Å³/f.u.
symmetry = No. 99
calculated formation energy = -0.135 eV per atom
raw total energy = -2.01 eV per atom
spin magnetization = 0.0000 μB per atom

Lattice parameters (Å, degrees): 4.1659 4.1664 9.3742 90.00 90.00 90.00
Closest atoms and distances in Å follow each position.
Sites, in units of the cell vectors:
Tl 0.5000 0.5000 0.2086  4 Tl 3.42, 1 Sr 3.62, 4 K 3.69
Tl 0.0000 0.0000 0.0228  4 Tl 3.42, 4 Sr 3.49
K 0.0000 0.0000 0.4461  5 Tl 3.69-3.97
Sr 0.5000 0.5000 0.8225  5 Tl 3.49-3.62

---

Record 5
Density functional theory data (PBE-GGA) for a relaxed structure of VAsH2.

calculated volume = 41 Å³/f.u.
symmetry = No. 122
raw total energy = -4.74 eV per atom
spin magnetization = 0.0000 μB per atom

Lattice parameters (Å, degrees): 4.4192 4.4192 5.2305 65.01 65.01 90.00
Closest atoms and distances in Å follow each position.
Sites, in units of the cell vectors:
H 0.5253 0.1250 0.2500  2 V 1.66
H 0.2247 0.6250 0.2500  2 V 1.66
H 0.3750 0.4747 0.7500  2 V 1.66
H 0.8750 0.7753 0.7500  2 V 1.66
As 0.7500 0.2500 0.5000  4 H 2.17
As 0.0000 0.0000 0.0000  4 H 2.17
V 0.2500 0.7500 0.5000  4 H 1.66
V 0.5000 0.5000 0.0000  4 H 1.66

---

Record 6
Density functional theory data (PBE-GGA) for a relaxed structure of CdCCl2.

calculated volume = 107 Å³/f.u.
symmetry = No. 166
energy relative to the elements, uncorrected = 1.04 eV/atom
raw total energy = -2.41 eV per atom
spin magnetization = 0.4852 μB per atom

Lattice parameters (Å, degrees): 7.9881 7.9881 7.9881 29.11 29.11 29.11
Closest atoms and distances in Å follow each position.
Sites, in units of the cell vectors:
Cd 0.5000 0.5000 0.5000  6 Cl 2.72
Cl 0.1048 0.1048 0.1048  1 C 2.40
Cl 0.8952 0.8952 0.8952  1 C 2.40
C 0.0000 0.0000 0.0000  2 Cl 2.40